(1)
First-principles (GGA-PBE) data for a relaxed ErPaMo2N6 crystal, as listed in Alexandria via LeMat-Bulk.

```
20
Lattice="5.3332 -4.6627 0.0000 5.3332 4.6627 0.0000 -1.7107 0.0000 5.7285" Properties=species:S:1:pos:R:3 pbc="T T T"
Er 4.0502 3.8612 4.2964
Er 4.9056 -3.8612 1.4321
Pa 4.9056 1.7069 1.4321
Pa 4.0502 -1.7069 4.2964
Mo 1.8977 0.9139 4.1985
Mo 2.7530 -0.9139 1.3343
Mo 6.2028 0.9139 4.3943
Mo 7.0581 -0.9139 1.5300
N 3.5364 3.5737 2.0175
N 2.5164 2.3992 5.1014
N 6.2748 3.5737 0.8468
N 3.0800 0.3328 2.7712
N 5.5840 2.3992 3.4915
N 2.2246 -0.3328 5.6354
N 6.7312 0.3328 0.0931
N 3.3718 -2.3992 2.2371
N 5.8758 -0.3328 2.9574
N 2.6810 -3.5737 4.8818
N 6.4394 -2.3992 0.6272
N 5.4194 -3.5737 3.7110
```

Output
Crystal system: monoclinic


(2)
First-principles (GGA-PBE) data for a relaxed PmErMo2N6 crystal, as listed in Alexandria via LeMat-Bulk.

```
20
Lattice="5.4102 -4.7719 0.0000 5.4102 4.7719 0.0000 -1.9247 0.0000 5.8189" Properties=species:S:1:pos:R:3 pbc="T T T"
Pm 3.9667 2.9877 4.3642
Pm 4.9290 -2.9877 1.4547
Er 4.9290 0.8145 1.4547
Er 3.9667 -0.8145 4.3642
Mo 0.8237 0.8901 4.4043
Mo 1.7860 -0.8901 1.4949
Mo 7.1096 0.8901 4.3240
Mo 8.0720 -0.8901 1.4145
N -0.3851 0.1920 5.7570
N 3.2697 2.3113 1.9986
N 0.5772 -0.1920 2.8476
N 2.5855 1.0340 4.9811
N 6.5883 2.3113 0.9108
N 3.5478 -1.0340 2.0717
N 5.3478 1.0340 3.7472
N 2.3074 -2.3113 4.9081
N 6.3102 -1.0340 0.8378
N 8.3184 0.1920 2.9713
N 5.6259 -2.3113 3.8202
N 9.2808 -0.1920 0.0619
```

Output
Crystal system: monoclinic


(3)
First-principles (GGA-PBE) data for a relaxed RbErMoN3 crystal, as listed in Alexandria via LeMat-Bulk.

```
12
Lattice="6.7344 -1.9419 0.0000 6.7344 1.9419 0.0000 -1.9712 0.0000 8.0086" Properties=species:S:1:pos:R:3 pbc="T T T"
Rb 1.8270 0.0000 0.5541
Rb 9.6706 0.0000 7.4545
Er 1.0414 0.0000 4.6147
Er 10.4563 0.0000 3.3939
Mo 5.3249 0.0000 5.3590
Mo 6.1728 0.0000 2.6496
N -0.5248 0.0000 2.8384
N 3.3028 0.0000 4.9937
N 4.4762 0.0000 1.8336
N 7.0215 0.0000 6.1750
N 8.1949 0.0000 3.0149
N 12.0224 0.0000 5.1702
```

Output
Crystal system: monoclinic


(4)
First-principles (GGA-PBE) data for a relaxed SmErMo2N6 crystal, as listed in Alexandria via LeMat-Bulk.

```
20
Lattice="5.6599 -4.8256 0.0000 5.6599 4.8256 0.0000 -2.5263 0.0000 5.8638" Properties=species:S:1:pos:R:3 pbc="T T T"
Sm 3.7652 3.9368 4.3978
Sm 5.0284 -3.9368 1.4659
Er 5.0284 2.0246 1.4659
Er 3.7652 -2.0246 4.3978
Mo 1.2951 0.8496 4.6203
Mo 2.5582 -0.8496 1.6884
Mo 6.2354 0.8496 4.1754
Mo 7.4985 -0.8496 1.2435
N 3.5391 3.7324 1.9796
N 2.0646 2.4170 4.9764
N 6.5176 3.7324 0.9523
N 3.7637 0.1652 0.5161
N 2.5006 -0.1652 3.4480
N 5.4658 2.4170 3.8193
N 3.3278 -2.4170 2.0445
N 6.2930 0.1652 2.4158
N 5.0299 -0.1652 5.3477
N 2.2760 -3.7324 4.9115
N 6.7290 -2.4170 0.8874
N 5.2545 -3.7324 3.8842
```

Output
Crystal system: monoclinic


(5)
First-principles (GGA-PBE) data for a relaxed SmErMoN3 crystal, as listed in Alexandria via LeMat-Bulk.

```
12
Lattice="5.8015 0.0000 0.0000 0.0000 3.3246 0.0000 -1.9350 0.0000 8.2332" Properties=species:S:1:pos:R:3 pbc="T T T"
Sm 0.4450 0.8311 1.5587
Sm 3.4215 2.4934 6.6745
Er 0.4778 2.4934 4.5547
Er 3.3887 0.8311 3.6785
Mo 0.5677 0.8311 7.2450
Mo 3.2988 2.4934 0.9882
N -0.9015 0.8311 5.5496
N -0.4682 2.4934 8.1235
N 2.0006 2.4934 2.6805
N 1.8660 0.8311 5.5527
N 4.3348 0.8311 0.1096
N 4.7681 2.4934 2.6835
```

Output
Crystal system: monoclinic


(6)
First-principles (GGA-PBE) data for a relaxed SmEr2MoN4 crystal, as listed in Alexandria via LeMat-Bulk.

```
16
Lattice="1.7002 -5.8348 0.0000 1.7002 5.8348 0.0000 0.0000 0.0000 11.7283" Properties=species:S:1:pos:R:3 pbc="T T T"
Sm 1.7002 4.6238 8.7962
Sm 1.7002 -4.6238 2.9321
Er 1.7002 1.5189 6.3176
Er 1.7002 1.5189 11.2749
Er 1.7002 -1.5189 0.4535
Er 1.7002 -1.5189 5.4107
Mo 1.7002 4.0106 2.9321
Mo 1.7002 -4.0106 8.7962
N 0.0000 0.0000 0.0000
N 0.0000 0.0000 5.8642
N 1.7002 2.7705 1.4410
N 1.7002 2.7705 4.4232
N 1.7002 0.6155 8.7962
N 1.7002 -0.6155 2.9321
N 1.7002 -2.7705 7.3051
N 1.7002 -2.7705 10.2874
```

Output
Crystal system: orthorhombic


| no. | formation energy (no corrections) (eV/f.u.) |
| --- | --- |
| 1 | -9.23 |
| 2 | -9.15 |
| 3 | -3.23 |
| 4 | -8.73 |
| 5 | -7.48 |
| 6 | -9.35 |